{"formula": "OsPb2C", "functional": "GGA-PBE", "state": "optimized geometry", "total_magnetization_mub_per_fu": 0.0, "e_form_ev_per_atom": 1.776, "final_energy_ev_per_atom": -5.19, "n_ef_per_ev_cell": 1.496, "spacegroup": "I-42d, No. 122", "lattice": [[-0.078, 0.393, 5.992], [-5.407, -2.613, 0.101], [-0.443, -5.855, 3.388]], "species": ["Pb", "Pb", "Pb", "Pb", "C", "C", "Os", "Os"], "fractional_positions": [[0.576, 0.125, 0.250], [0.174, 0.625, 0.250], [0.375, 0.424, 0.750], [0.875, 0.826, 0.750], [0.500, 0.500, 0.000], [0.250, 0.750, 0.500], [0.000, 0.000, 0.000], [0.750, 0.250, 0.500]]}